! Pr3IrBr3 (GGA-PBEsol, optimized geometry); values from VASP
&SYSTEM
  ibrav = 0, nat = 28, ntyp = 3
/
ATOMIC_SPECIES
Br 79.90 Br.upf
Pr 140.91 Pr.upf
Ir 192.22 Ir.upf
CELL_PARAMETERS angstrom
-10.3353 -0.0318 -0.0228
3.4293 -1.7193 9.5970
3.4242 9.1802 -3.2890
ATOMIC_POSITIONS crystal
Br 0.2571 0.2429 0.2500
Br 0.7500 0.2571 0.7429
Br 0.7500 0.4929 0.5071
Br 0.4929 0.4858 0.7429
Br 0.2571 0.0142 0.5071
Br 0.0142 0.0071 0.7571
Br 0.0071 0.7500 0.9929
Br 0.0071 0.2571 0.5142
Br 0.4858 0.2429 0.9929
Br 0.4929 0.0071 0.2500
Br 0.2429 0.7500 0.7571
Br 0.2429 0.4929 0.9858
Pr 0.9725 0.9862 0.2362
Pr 0.7362 0.7638 0.7500
Pr 0.5275 0.7638 0.0138
Pr 0.7638 0.5138 0.0275
Pr 0.2500 0.7362 0.2638
Pr 0.5138 0.9862 0.7500
Pr 0.7362 0.9725 0.4862
Pr 0.2500 0.5138 0.4862
Pr 0.5138 0.5275 0.2638
Pr 0.7638 0.2500 0.2362
Pr 0.9862 0.2500 0.0138
Pr 0.9862 0.7362 0.4725
Ir 0.7500 0.0000 0.0000
Ir 0.7500 0.7500 0.2500
Ir 0.0000 0.5000 0.2500
Ir 0.5000 0.7500 0.5000
! * crystal system: cubic
! * symmetry: I4_132 (214)
! * energy relative to the elements, uncorrected: -132.52 kJ per mole of atoms

! Be3AlSe (GGA-PBEsol, optimized geometry); values from VASP
&SYSTEM
  ibrav = 0, nat = 5, ntyp = 3
/
ATOMIC_SPECIES
Se 78.96 Se.upf
Be 9.01 Be.upf
Al 26.98 Al.upf
CELL_PARAMETERS angstrom
4.3933 0.0000 0.0000
0.0000 4.3933 0.0000
0.0000 0.0000 4.3933
ATOMIC_POSITIONS crystal
Se 0.5000 0.5000 0.5000
Be 0.0000 0.5000 0.0000
Be 0.0000 0.0000 0.5000
Be 0.5000 0.0000 0.0000
Al 0.0000 0.0000 0.0000
! * crystal system: cubic
! * symmetry: Pm-3m (221)
! * energy relative to the elements, uncorrected: 105.27 kJ per mole of atoms

! Cs3HgH (GGA-PBEsol, optimized geometry); values from VASP
&SYSTEM
  ibrav = 0, nat = 5, ntyp = 3
/
ATOMIC_SPECIES
H 1.01 H.upf
Cs 132.91 Cs.upf
Hg 200.59 Hg.upf
CELL_PARAMETERS angstrom
-5.3643 1.7052 1.9078
0.6380 -3.4001 4.8328
2.4780 4.5667 2.8858
ATOMIC_POSITIONS crystal
H 0.0000 0.0000 0.0000
Cs 0.0000 0.0000 0.5000
Cs 0.5000 0.0000 0.0000
Cs 0.0000 0.5000 0.0000
Hg 0.5000 0.5000 0.5000
! * total energy: -1.43 eV/atom
! * crystal system: cubic
! * symmetry: Pm-3m (221)

! Li2VO3 (GGA-PBEsol, optimized geometry); values from VASP
&SYSTEM
  ibrav = 0, nat = 12, ntyp = 3
/
ATOMIC_SPECIES
V 50.94 V.upf
O 16.00 O.upf
Li 6.94 Li.upf
CELL_PARAMETERS angstrom
4.9121 -0.0059 0.0756
-2.4497 4.2580 -0.0415
-0.9172 -1.4419 4.7284
ATOMIC_POSITIONS crystal
V 0.3305 0.1721 0.5001
V 0.6695 0.8279 0.4999
O 0.0744 0.9266 0.7301
O 0.5732 0.4246 0.2686
O 0.7231 0.2236 0.7266
O 0.4268 0.5754 0.7314
O 0.9256 0.0734 0.2699
O 0.2769 0.7764 0.2734
Li 0.1582 0.3405 0.9993
Li 0.5000 0.0000 0.0000
Li 0.8418 0.6595 0.0007
Li 0.0000 0.5000 0.5000
! * crystal system: triclinic
! * symmetry: P-1 (2)
! * energy relative to the elements, uncorrected: -223.60 kJ per mole of atoms

! ZnCu (GGA-PBEsol, optimized geometry); values from VASP
&SYSTEM
  ibrav = 0, nat = 4, ntyp = 2
/
ATOMIC_SPECIES
Zn 65.41 Zn.upf
Cu 63.55 Cu.upf
CELL_PARAMETERS angstrom
3.6226 0.0000 0.0000
-1.8113 3.1373 0.0000
0.0000 0.0000 5.1515
ATOMIC_POSITIONS crystal
Zn 0.0000 0.0000 0.5000
Zn 0.0000 0.0000 0.0000
Cu 0.6667 0.3333 0.7500
Cu 0.3333 0.6667 0.2500
! * total energy: -2.66 eV/atom
! * crystal system: hexagonal
! * symmetry: P6_3/mmc (194)

! ScSiOs (GGA-PBEsol, optimized geometry); values from VASP
&SYSTEM
  ibrav = 0, nat = 3, ntyp = 3
/
ATOMIC_SPECIES
Os 190.23 Os.upf
Sc 44.96 Sc.upf
Si 28.09 Si.upf
CELL_PARAMETERS angstrom
-3.2258 -0.8565 -2.6484
0.7929 -1.5067 -3.9057
-0.9537 -4.0403 -0.9589
ATOMIC_POSITIONS crystal
Os 0.5000 0.5000 0.5000
Sc 0.2500 0.2500 0.2500
Si 0.0000 0.0000 0.0000
! * crystal system: cubic
! * symmetry: F-43m (216)
! * energy relative to the elements, uncorrected: 51.96 kJ per mole of atoms